Here is a geometry-optimized VCdIO2 structure from Alexandria. Energies are from GGA+U.

Lattice parameters (Å, degrees): 3.9688 3.9688 5.7845 90.00 90.00 90.00
With the nearest neighbours (Å) after each atom.
Space group P4/mmm (No. 123)
Inequivalent atoms, fractional coordinates:
V 0.0000 0.0000 0.0000 (multiplicity 1)  4 O 1.98
Cd 0.5000 0.5000 0.5000 (multiplicity 1)  4 I 2.81
I 0.0000 0.0000 0.5000 (multiplicity 1)  4 Cd 2.81, 2 V 2.89
O 0.0000 0.5000 0.0000 (multiplicity 2)  2 V 1.98

Its density of states at the Fermi level is 0.383 states/eV per atom. The volume comes out at 91.1 Å³ per cell. Its crystal system is tetragonal. For the total energy, the calculation gives -4.647 eV per atom.